No. 1
Material: K2SnPdBr
Method: DFT, PBE
State: optimized geometry

ΔE_f (raw) = -0.507 eV/atom
symmetry = P4/mmm (123)
calculated volume = 195.1 Å³ per cell
magnetization = 0.00 μB per formula unit

The structure in POSCAR format:
```
K2SnPdBr
1.0
6.2191 0.0000 0.0000
0.0000 5.0438 0.0000
0.0000 0.0000 6.2191
Sn K Br Pd
1 2 1 1
direct
0.0000 0.5000 0.0000
0.0000 0.0000 0.5000
0.5000 0.0000 0.0000
0.5000 0.5000 0.5000
0.0000 0.0000 0.0000
```

---

No. 2
Material: KRh2W
Method: DFT, PBE
State: optimized geometry

energy above the lowest structure with this stoichiometry = 156 meV per atom
symmetry = C2/m (12)
calculated volume = 82.3 Å³ per cell
magnetization = 0.00 μB per formula unit

The structure in POSCAR format:
```
KRh2W
1.0
3.7186 -0.0088 0.0023
2.6642 2.5943 0.0023
0.3199 0.1296 8.5082
Rh K W
2 1 1
direct
0.4930 0.4930 0.5639
0.0070 0.0070 0.9361
0.2500 0.2500 0.2500
0.7500 0.7500 0.7500
```

---

No. 3
Material: KLa2Rh
Method: DFT, PBE
State: optimized geometry

energy above the lowest structure with this stoichiometry = 221 meV per atom
symmetry = P4mm (99)
calculated volume = 164.6 Å³ per cell
magnetization = 0.00 μB per formula unit

The structure in POSCAR format:
```
KLa2Rh
1.0
4.0870 0.0000 0.0000
0.0000 4.0870 0.0000
0.0000 0.0000 9.8526
Rh K La
1 1 2
direct
0.0000 0.0000 0.3476
0.5000 0.5000 0.7304
0.0000 0.0000 0.0794
0.5000 0.5000 0.3426
```

---

No. 4
Material: HoCuSe2
Method: DFT, PBE
State: optimized geometry

ΔE_f (raw) = -1.119 eV/atom
symmetry = P-3m1 (164)
calculated volume = 86.0 Å³ per cell
magnetization = 0.00 μB per formula unit

The structure in POSCAR format:
```
HoCuSe2
1.0
-3.6612 0.5422 -1.4266
0.5213 -0.9486 3.8160
0.3316 6.1286 1.4782
Se Ho Cu
2 1 1
direct
0.3333 0.6667 0.2289
0.6667 0.3333 0.7711
0.0000 0.0000 0.5000
0.0000 0.0000 0.0000
```

---

No. 5
Material: NpSi4Pt2Rh
Method: DFT, PBE
State: optimized geometry

ΔE_f (raw) = -0.458 eV/atom
symmetry = R-3m (166)
calculated volume = 127.4 Å³ per cell
magnetization = 3.76 μB per formula unit

The structure in POSCAR format:
```
NpSi4Pt2Rh
1.0
-0.5321 1.0044 3.9944
-1.2757 -2.8749 2.7119
7.5110 -2.7097 3.8407
Rh Pt Si Np
1 2 4 1
direct
0.5000 0.5000 0.5000
0.2391 0.2391 0.2827
0.7609 0.7609 0.7173
0.6030 0.6030 0.1911
0.1255 0.1255 0.6236
0.3970 0.3970 0.8089
0.8745 0.8745 0.3764
0.0000 0.0000 0.0000
```

---

No. 6
Material: Hf2BBr
Method: DFT, PBE
State: optimized geometry

ΔE_f (raw) = 0.054 eV/atom
energy above the lowest structure with this stoichiometry = 0 meV per atom
symmetry = I-42d (122)
calculated volume = 177.0 Å³ per cell
magnetization = 0.00 μB per formula unit

The structure in POSCAR format:
```
Hf2BBr
1.0
-5.5606 -0.9932 -0.4800
0.9995 -5.5801 -0.0338
-2.7337 -3.4011 5.2293
Hf B Br
4 2 2
direct
0.3750 0.4509 0.7500
0.8750 0.7991 0.7500
0.2009 0.6250 0.2500
0.5491 0.1250 0.2500
0.2500 0.7500 0.5000
0.5000 0.5000 0.0000
0.7500 0.2500 0.5000
0.0000 0.0000 0.0000
```

---

No. 7
Material: Ba2NdAs2Br2
Method: DFT, PBE
State: optimized geometry

ΔE_f (raw) = -1.452 eV/atom
symmetry = I4/mmm (139)
calculated volume = 267.3 Å³ per cell
magnetization = 0.00 μB per formula unit

The structure in POSCAR format:
```
Ba2NdAs2Br2
1.0
5.6482 0.0000 0.0000
0.0000 5.6482 0.0000
-2.8241 -2.8241 8.3792
Ba Nd As Br
2 1 2 2
direct
0.3787 0.3787 0.7574
0.6213 0.6213 0.2426
0.0000 0.0000 0.0000
0.5000 0.0000 0.0000
0.0000 0.5000 0.0000
0.8158 0.8158 0.6317
0.1842 0.1842 0.3683
```

---

No. 8
Material: Lu4InRh
Method: DFT, PBE
State: optimized geometry

total DFT energy (no corrections) = -5.283 eV per atom
symmetry = F-43m (216)
calculated volume = 596.8 Å³ per cell
magnetization = 0.00 μB per formula unit

The structure in POSCAR format:
```
Lu4InRh
1.0
-2.6736 8.9460 -1.4581
-8.1141 1.8357 -4.4828
-7.3299 3.5785 4.7720
Lu Rh In
16 4 4
direct
0.4398 0.4398 0.0602
0.1884 0.8116 0.1884
0.4398 0.0602 0.0602
0.8116 0.1884 0.1884
0.8116 0.1884 0.8116
0.1884 0.1884 0.8116
0.5999 0.5999 0.5999
0.2002 0.5999 0.5999
0.0602 0.0602 0.4398
0.1884 0.8116 0.8116
0.0602 0.4398 0.0602
0.5999 0.2002 0.5999
0.5999 0.5999 0.2002
0.8116 0.8116 0.1884
0.0602 0.4398 0.4398
0.4398 0.0602 0.4398
0.3923 0.3923 0.8230
0.3923 0.3923 0.3923
0.8230 0.3923 0.3923
0.3923 0.8230 0.3923
0.8337 0.8337 0.4989
0.4989 0.8337 0.8337
0.8337 0.4989 0.8337
0.8337 0.8337 0.8337
```

---

No. 9
Material: Si3Te
Method: DFT, PBE
State: optimized geometry

ΔE_f (raw) = 0.692 eV/atom
energy above the lowest structure with this stoichiometry = 414 meV per atom
symmetry = Cmmm (65)
calculated volume = 75.1 Å³ per cell
magnetization = 0.00 μB per formula unit

The structure in POSCAR format:
```
Si3Te
1.0
4.7072 0.0288 0.0000
-0.5409 4.6761 0.0000
0.0000 0.0000 3.4076
Si Te
3 1
direct
0.0000 0.5000 0.5000
0.5000 0.0000 0.5000
0.5000 0.5000 0.0000
0.0000 0.0000 0.0000
```

---

No. 10
Material: NaScZnO3
Method: DFT, PBE
State: optimized geometry

ΔE_f (raw) = -2.193 eV/atom
symmetry = P2_1/m (11)
calculated volume = 180.7 Å³ per cell
magnetization = 0.00 μB per formula unit

The structure in POSCAR format:
```
NaScZnO3
1.0
-3.1185 -0.2623 -0.2537
-0.4854 -0.5417 6.5267
-0.7502 8.7448 0.1794
O Sc Na Zn
6 2 2 2
direct
0.2500 0.8205 0.5562
0.7500 0.3959 0.1046
0.2500 0.1924 0.7990
0.2500 0.6041 0.8954
0.7500 0.8076 0.2010
0.7500 0.1795 0.4438
0.2500 0.6265 0.1233
0.7500 0.3735 0.8767
0.7500 0.8344 0.7625
0.2500 0.1656 0.2375
0.2500 0.1521 0.5732
0.7500 0.8479 0.4268
```

---

No. 11
Material: Mg2ScCr
Method: DFT, PBE
State: optimized geometry

energy above the lowest structure with this stoichiometry = 128 meV per atom
symmetry = R3m (160)
calculated volume = 82.5 Å³ per cell
magnetization = 2.25 μB per formula unit

The structure in POSCAR format:
```
Mg2ScCr
1.0
10.0800 0.0073 0.0043
9.6015 3.0688 0.0043
9.6015 1.5007 2.6768
Mg Sc Cr
2 1 1
direct
0.2496 0.2496 0.2496
0.0080 0.0080 0.0080
0.4899 0.4899 0.4899
0.7525 0.7525 0.7525
```

---

No. 12
Material: NdHo2Co6
Method: DFT, PBE
State: optimized geometry

total DFT energy (no corrections) = -6.432 eV per atom
symmetry = P6/mmm (191)
calculated volume = 157.9 Å³ per cell
magnetization = 4.41 μB per formula unit

The structure in POSCAR format:
```
NdHo2Co6
1.0
4.0823 0.0000 0.0000
0.0000 5.7877 -3.3415
0.0000 0.0000 6.6830
Co Ho Nd
6 2 1
direct
0.5000 0.3355 0.3355
0.5000 0.3355 0.0000
0.5000 0.0000 0.3355
0.5000 0.0000 0.6645
0.5000 0.6645 0.6645
0.5000 0.6645 0.0000
0.0000 0.3333 0.6667
0.0000 0.6667 0.3333
0.0000 0.0000 0.0000
```